Material: CeMgCu2H8
Method: DFT, PBE
State: relaxed

Lattice parameters (Å, degrees): 4.4364 4.4364 6.6952 90.00 90.00 120.00
Space group P-3 (No. 147)
Inequivalent atoms, fractional coordinates:
Ce (0.0000, 0.0000, 0.0000) x1
Mg (0.0000, 0.0000, 0.5000) x1
Cu (0.3333, 0.6667, 0.7482) x2
H (0.0143, 0.7010, 0.2881) x6
H (0.3333, 0.6667, 0.9942) x2

Results
- Energy: -3.673 eV per atom
- Magnetization: 0.01 μB per atom